[1]
The following is a DFT calculation (PBE-GGA) of a geometry-optimized Y2HgBi structure.

Values from the calculation:
E_form in kcal/mol of atoms: -12.018
Space group: No. 225
E_tot in eV per cell: -19.2
Energy above the most stable polymorph in this dataset in meV/atom: 120.9
Magnetization in Bohr magnetons per cell: 0.000
DOS at the Fermi energy in states/eV/cell: 3.10

a = 5.381 Å, b = 5.381 Å, c = 5.381 Å
α = 60.00°, β = 60.00°, γ = 60.00°
Positions (direct):
Y  0.250  0.250  0.250
Y  0.750  0.750  0.750
Bi  0.500  0.500  0.500
Hg  0.000  0.000  0.000

[2]
The following is a DFT calculation (PBE-GGA) of a geometry-optimized LaHSe structure.

Values from the calculation:
Space group: No. 8
E_tot in eV per cell: -63.5
Magnetization in Bohr magnetons per cell: 0.000
DOS at the Fermi energy in states/eV/cell: 0.00

a = 6.223 Å, b = 4.134 Å, c = 10.397 Å
α = 90.00°, β = 97.01°, γ = 90.00°
Positions (direct):
La  0.747  0.000  0.960
La  0.747  0.500  0.460
La  0.304  0.000  0.632
La  0.304  0.500  0.132
H  0.112  0.000  0.045
H  0.112  0.500  0.545
H  0.464  0.000  0.077
H  0.464  0.500  0.577
Se  0.817  0.000  0.669
Se  0.817  0.500  0.169
Se  0.402  0.000  0.356
Se  0.402  0.500  0.856

[3]
The following is a DFT calculation (PBE-GGA) of a geometry-optimized SrSmTl structure.

Values from the calculation:
E_form in kcal/mol of atoms: -3.142
Space group: No. 156
E_tot in eV per cell: -9.2
Magnetization in Bohr magnetons per cell: 0.000
DOS at the Fermi energy in states/eV/cell: 1.95

a = 4.026 Å, b = 5.494 Å, c = 5.494 Å
α = 120.00°, β = 90.00°, γ = 90.00°
Positions (direct):
Sr  0.688  0.333  0.667
Tl  0.085  0.000  0.000
Sm  0.227  0.667  0.333

[4]
The following is a DFT calculation (PBE-GGA) of a geometry-optimized Zr6ZnBi structure.

Values from the calculation:
E_form in kcal/mol of atoms: -3.376
Space group: No. 10
E_tot in eV per cell: -57.6
Magnetization in Bohr magnetons per cell: 0.001
DOS at the Fermi energy in states/eV/cell: 9.42

a = 7.949 Å, b = 7.944 Å, c = 5.622 Å
α = 45.04°, β = 45.00°, γ = 60.00°
Positions (direct):
Zr  0.000  0.502  0.742
Zr  0.757  0.000  0.744
Zr  0.500  0.243  0.257
Zr  0.243  0.000  0.256
Zr  0.000  0.498  0.258
Zr  0.500  0.757  0.743
Zn  0.000  0.000  0.000
Bi  0.500  0.500  0.500

[5]
The following is a DFT calculation (PBE-GGA) of a geometry-optimized ErMgIrPt structure.

Values from the calculation:
E_form in kcal/mol of atoms: -18.825
Space group: No. 216
E_tot in eV per cell: -24.3
Magnetization in Bohr magnetons per cell: 0.000
DOS at the Fermi energy in states/eV/cell: 2.69

a = 4.673 Å, b = 4.673 Å, c = 4.673 Å
α = 60.00°, β = 60.00°, γ = 60.00°
Positions (direct):
Mg  0.500  0.500  0.500
Ir  0.250  0.250  0.250
Pt  0.750  0.750  0.750
Er  0.000  0.000  0.000

[6]
The following is a DFT calculation (PBE-GGA) of a geometry-optimized Ac2YS3 structure.

Values from the calculation:
Space group: No. 139
E_tot in eV per cell: -38.7
Magnetization in Bohr magnetons per cell: 0.000
DOS at the Fermi energy in states/eV/cell: 2.93

a = 4.209 Å, b = 4.209 Å, c = 9.330 Å
α = 103.03°, β = 103.03°, γ = 90.03°
Positions (direct):
Ac  0.102  0.103  0.210
Ac  0.766  0.768  0.538
Y  0.434  0.436  0.874
S  0.934  0.936  0.874
S  0.277  0.278  0.559
S  0.592  0.593  0.189

[7]
The following is a DFT calculation (PBE-GGA) of a geometry-optimized NpSb4O12 structure.

Values from the calculation:
Space group: No. 71
E_tot in eV per cell: -114.7
Magnetization in Bohr magnetons per cell: 2.870
DOS at the Fermi energy in states/eV/cell: 8.57

a = 6.762 Å, b = 6.762 Å, c = 6.762 Å
α = 108.57°, β = 111.37°, γ = 108.48°
Last column: magnetic moment on the atom in μB.
Positions (direct):
Np  0.000  0.500  0.500  2.88
Sb  0.500  0.000  0.000  0.02
Sb  0.000  0.500  0.000  0.02
Sb  0.000  0.000  0.500  0.02
Sb  0.500  0.500  0.500  0.02
O  0.189  0.736  0.925  -0.02
O  0.049  0.737  0.312  -0.02
O  0.425  0.737  0.688  -0.02
O  0.293  0.087  0.794  0.01
O  0.707  0.501  0.794  0.01
O  0.189  0.264  0.453  -0.02
O  0.811  0.736  0.547  -0.02
O  0.707  0.913  0.206  0.01
O  0.293  0.499  0.206  0.01
O  0.575  0.263  0.312  -0.02
O  0.951  0.263  0.688  -0.02
O  0.811  0.264  0.075  -0.02

[8]
The following is a DFT calculation (PBE-GGA) of a geometry-optimized Hf8Zn2C3 structure.

Values from the calculation:
E_form in kcal/mol of atoms: -6.312
Space group: No. 12
E_tot in eV per cell: -113.4
Magnetization in Bohr magnetons per cell: 0.000
DOS at the Fermi energy in states/eV/cell: 7.41

a = 5.802 Å, b = 6.572 Å, c = 7.374 Å
α = 116.46°, β = 104.48°, γ = 90.00°
Positions (direct):
Hf  0.928  0.603  0.207
Hf  0.072  0.397  0.793
Hf  0.899  0.100  0.199
Hf  0.101  0.900  0.801
Hf  0.613  0.660  0.815
Hf  0.613  0.155  0.815
Hf  0.387  0.845  0.185
Hf  0.387  0.340  0.185
Zn  0.341  0.253  0.506
Zn  0.659  0.747  0.494
C  0.500  0.000  0.000
C  0.000  0.245  0.000
C  0.000  0.755  0.000